[1]
# K6Rb2CdF | the Alexandria database | PBE-GGA | optimized geometry
data_K6Rb2CdF
_symmetry_space_group_name_H-M 'P -1'
_symmetry_Int_Tables_number 2
_symmetry_space_group_name_Hall '-P 1'
_cell_length_a 9.002
_cell_length_b 9.040
_cell_length_c 9.091
_cell_angle_alpha 64.71
_cell_angle_beta 64.52
_cell_angle_gamma 89.72
loop_
_atom_site_label
_atom_site_fract_x
_atom_site_fract_y
_atom_site_fract_z
_atom_site_occupancy
K1 0.203 0.202 0.017 1
K2 0.214 0.787 0.999 1
K3 0.215 0.211 0.491 1
Rb1 0.294 0.701 0.502 1
Cd1 0.500 0.500 0.000 1
F1 0.000 0.000 0.000 1
# - energy relative to the elements, uncorrected (eV/atom) = -0.47
# - density of states at the Fermi level (states/eV per cell) = 7.4
# - ρ (g/cm3) = 1.51

[2]
# KRb2Cd3F8 | the Alexandria database | PBE-GGA | optimized geometry
data_KRb2Cd3F8
_symmetry_space_group_name_H-M 'R 3 m'
_symmetry_Int_Tables_number 160
_symmetry_space_group_name_Hall 'R 3 -2"'
_cell_length_a 7.2642
_cell_length_b 7.2642
_cell_length_c 19.4732
_cell_angle_alpha 90.00
_cell_angle_beta 90.00
_cell_angle_gamma 120.00
loop_
_atom_site_label
_atom_site_fract_x
_atom_site_fract_y
_atom_site_fract_z
_atom_site_occupancy
K1 0.0000 0.0000 0.0000 1
Rb1 0.0000 0.0000 0.3818 1
Rb2 0.0000 0.0000 0.7557 1
Cd1 0.0025 0.5012 0.8811 1
F1 0.0000 0.0000 0.1473 1
F2 0.0000 0.0000 0.6107 1
F3 0.0402 0.5201 0.1537 1
F4 0.1844 0.3689 0.9444 1
# - energy relative to the elements, uncorrected (eV/atom) = -2.28
# - density of states at the Fermi level (states/eV per cell) = 4.4
# - ρ (g/cm3) = 3.91

[3]
# K2CdRhF6 | the Alexandria database | PBE-GGA | optimized geometry
data_K2CdRhF6
_symmetry_space_group_name_H-M 'I 4/m m m'
_symmetry_Int_Tables_number 139
_symmetry_space_group_name_Hall '-I 4 2'
_cell_length_a 6.227
_cell_length_b 6.227
_cell_length_c 8.647
_cell_angle_alpha 90.00
_cell_angle_beta 90.00
_cell_angle_gamma 90.00
loop_
_atom_site_label
_atom_site_fract_x
_atom_site_fract_y
_atom_site_fract_z
_atom_site_occupancy
K1 0.000 0.500 0.250 1
Cd1 0.000 0.000 0.000 1
Rh1 0.000 0.000 0.500 1
F1 0.000 0.000 0.261 1
F2 0.248 0.248 0.500 1
# - energy relative to the elements, uncorrected (eV/atom) = -2.10
# - density of states at the Fermi level (states/eV per cell) = 3.3
# - ρ (g/cm3) = 4.04